Compound: Sr3NCl
Source: Alexandria via LeMat-Bulk
Functional: GGA-PBE
Structure: optimized geometry

a = 5.3179 Å, b = 5.3179 Å, c = 5.3179 Å
α = 90.00°, β = 90.00°, γ = 90.00°
Closest atoms and distances in Å follow each position.
Space group Pm-3m (No. 221)
Inequivalent atoms, fractional coordinates:
1 Sr 0.0000 0.0000 0.5000 (multiplicity 3)  2 N 2.66
2 N 0.0000 0.0000 0.0000 (multiplicity 1)  6 Sr 2.66
3 Cl 0.5000 0.5000 0.5000 (multiplicity 1)  12 Sr 3.76

Computed properties:
- Calculated total energy: -3.737 eV/atom
- Calculated density: 3.4 g cm⁻³
- ΔE to the lowest computed polymorph: 270 meV per atom

=====

Compound: CrIrPb
Source: Alexandria via LeMat-Bulk
Functional: GGA-PBE
Structure: optimized geometry

a = 4.4961 Å, b = 4.4961 Å, c = 3.1279 Å
α = 90.00°, β = 90.00°, γ = 120.00°
Closest atoms and distances in Å follow each position.
Space group P3m1 (No. 156)
Inequivalent atoms, fractional coordinates:
1 Cr 0.0000 0.0000 0.0000 (multiplicity 1)  3 Ir 2.75, 3 Pb 2.86
2 Ir 0.6667 0.3333 0.2925 (multiplicity 1)  3 Cr 2.75, 3 Pb 2.79
3 Pb 0.3333 0.6667 0.6164 (multiplicity 1)  3 Ir 2.79, 3 Cr 2.86

Computed properties:
- Calculated total energy: -6.816 eV/atom
- Calculated density: 13.7 g cm⁻³
- ΔE to the lowest computed polymorph: 168 meV per atom
- Formation enthalpy at 0 K: 0.581 eV per atom

=====

Compound: InMoC3
Source: Alexandria via LeMat-Bulk
Functional: GGA-PBE
Structure: optimized geometry

a = 4.1583 Å, b = 4.1583 Å, c = 4.1583 Å
α = 90.00°, β = 90.00°, γ = 90.00°
Closest atoms and distances in Å follow each position.
Space group Pm-3m (No. 221)
Inequivalent atoms, fractional coordinates:
1 In 0.0000 0.0000 0.0000 (multiplicity 1)  12 C 2.94
2 Mo 0.5000 0.5000 0.5000 (multiplicity 1)  6 C 2.08
3 C 0.0000 0.5000 0.5000 (multiplicity 3)  2 Mo 2.08

Computed properties:
- Calculated total energy: -6.481 eV/atom
- Calculated density: 5.7 g cm⁻³
- ΔE to the lowest computed polymorph: 0 meV per atom
- Formation enthalpy at 0 K: 1.767 eV per atom

=====

Compound: Zn3Sb2
Source: Alexandria via LeMat-Bulk
Functional: GGA-PBE
Structure: optimized geometry

a = 6.8365 Å, b = 6.8365 Å, c = 16.8458 Å
α = 90.00°, β = 90.00°, γ = 120.00°
Closest atoms and distances in Å follow each position.
Space group R-3c (No. 167, hexagonal axes)
Inequivalent atoms, fractional coordinates:
1 Zn 0.0000 0.2331 0.2500 (multiplicity 18)  4 Sb 2.71-2.95, 2 Zn 2.76
2 Sb 0.0000 0.0000 0.1029 (multiplicity 12)  6 Zn 2.71-2.95

Computed properties:
- Calculated total energy: -2.366 eV/atom
- Calculated density: 6.4 g cm⁻³

=====

Compound: OsSeBr2F
Source: Alexandria via LeMat-Bulk
Functional: GGA-PBE
Structure: optimized geometry

a = 5.1059 Å, b = 5.1059 Å, c = 4.6534 Å
α = 90.00°, β = 90.00°, γ = 90.00°
Closest atoms and distances in Å follow each position.
Space group P4/mmm (No. 123)
Inequivalent atoms, fractional coordinates:
1 Os 0.0000 0.0000 0.0000 (multiplicity 1)  2 Se 2.33, 4 Br 2.55
2 Se 0.0000 0.0000 0.5000 (multiplicity 1)  2 Os 2.33
3 Br 0.0000 0.5000 0.0000 (multiplicity 2)  2 Os 2.55
4 F 0.5000 0.5000 0.5000 (multiplicity 1)  8 Br 3.45, 4 Se 3.61

Computed properties:
- Calculated total energy: -3.680 eV/atom
- Calculated density: 6.1 g cm⁻³
- ΔE to the lowest computed polymorph: 0 meV per atom

=====

Compound: La3Cd6In5
Source: Alexandria via LeMat-Bulk
Functional: GGA-PBE
Structure: optimized geometry

a = 4.8043 Å, b = 14.0815 Å, c = 10.8581 Å
α = 90.00°, β = 90.00°, γ = 90.00°
Closest atoms and distances in Å follow each position.
Space group Pmmn (No. 59, origin choice 2)
Inequivalent atoms, fractional coordinates:
1 La 0.2500 0.0576 0.2480 (multiplicity 4)  7 Cd 3.44-3.71, 7 In 3.48-3.85
2 La 0.2500 0.7500 0.2507 (multiplicity 2)  6 In 3.52-3.63, 6 Cd 3.58-3.65
3 Cd 0.2500 0.0917 0.6164 (multiplicity 4)  4 In 2.80-2.97, 1 Cd 2.92
4 Cd 0.2500 0.2500 0.0511 (multiplicity 2)  4 In 2.91-3.15, 4 Cd 3.20
5 Cd 0.2500 0.2500 0.4433 (multiplicity 2)  2 Cd 2.92, 4 In 3.14
6 Cd 0.2500 0.6012 0.9754 (multiplicity 4)  4 In 2.91-3.13, 2 Cd 3.20
7 In 0.2500 0.0949 0.8739 (multiplicity 4)  5 Cd 2.80-2.97
8 In 0.2500 0.6082 0.5301 (multiplicity 4)  5 Cd 2.89-3.14, 1 In 3.21
9 In 0.2500 0.7500 0.7617 (multiplicity 2)  6 Cd 3.13-3.27, 2 In 3.21

Computed properties:
- Calculated total energy: -2.788 eV/atom
- Calculated density: 7.5 g cm⁻³
- Formation enthalpy at 0 K: -0.362 eV per atom

=====

Compound: GePdO
Source: Alexandria via LeMat-Bulk
Functional: GGA-PBE
Structure: optimized geometry

a = 2.8621 Å, b = 5.8612 Å, c = 11.0006 Å
α = 90.00°, β = 90.00°, γ = 90.00°
Closest atoms and distances in Å follow each position.
Space group Fmm2 (No. 42)
Inequivalent atoms, fractional coordinates:
1 Ge 0.0000 0.0000 0.0000 (multiplicity 4)  2 O 1.89
2 Pd 0.0000 0.0000 0.6778 (multiplicity 4)  2 Ge 2.42, 2 O 2.71
3 O 0.0000 0.0000 0.3872 (multiplicity 4)  2 Ge 1.89

Computed properties:
- Calculated total energy: -5.384 eV/atom
- Calculated density: 7.0 g cm⁻³
- ΔE to the lowest computed polymorph: 0 meV per atom

=====

Compound: Be2FeHgN
Source: Alexandria via LeMat-Bulk
Functional: GGA-PBE
Structure: optimized geometry

a = 3.4700 Å, b = 3.4700 Å, c = 5.9514 Å
α = 90.00°, β = 90.00°, γ = 90.00°
Closest atoms and distances in Å follow each position.
Space group P4/mmm (No. 123)
Inequivalent atoms, fractional coordinates:
1 Be 0.0000 0.5000 0.0000 (multiplicity 2)  2 N 1.74
2 Fe 0.0000 0.0000 0.5000 (multiplicity 1)  4 Hg 2.45
3 Hg 0.5000 0.5000 0.5000 (multiplicity 1)  4 Fe 2.45
4 N 0.5000 0.5000 0.0000 (multiplicity 1)  4 Be 1.74

Computed properties:
- Calculated total energy: -4.436 eV/atom
- Calculated density: 6.7 g cm⁻³